Below is an optimized crystal structure of Rb3Nd2SbTe6, with properties calculated at the GGA-PBE level.

a = 8.024 Å, b = 13.899 Å, c = 8.951 Å
α = 90.00°, β = 107.42°, γ = 90.00°
Space group C2/m (No. 12)
Unique sites:
Rb 0.000 0.000 0.000 x2
Rb 0.000 0.332 0.000 x4
Nd 0.000 0.166 0.500 x4
Sb 0.000 0.500 0.500 x2
Te 0.230 0.337 0.701 x8
Te 0.242 0.000 0.702 x4

## Properties
The theoretical density comes out at 4.99 g cm⁻³. Its crystal system is monoclinic. The total magnetization is 0.00 μB/f.u. As for the raw formation energy: -1280 kJ/mol of formula units. For the electronic total energy, the calculation gives -97.35 eV for the cell shown.